The following is a GGA-PBE calculation of a relaxed LiHCl crystal, from Alexandria.

```
data_LiHCl
_chemical_formula_sum 'Li2 H2 Cl2'
_symmetry_space_group_name_H-M 'P 1'
_symmetry_Int_Tables_number 1
_cell_length_a 3.570
_cell_length_b 3.843
_cell_length_c 8.176
_cell_angle_alpha 87.00
_cell_angle_beta 80.77
_cell_angle_gamma 67.67
loop_
_symmetry_equiv_pos_as_xyz
'x,y,z'
loop_
_atom_site_label
_atom_site_type_symbol
_atom_site_fract_x
_atom_site_fract_y
_atom_site_fract_z
Li1 Li 0.000 0.000 0.000
Li2 Li 0.357 0.037 0.318
H1 H 0.284 0.464 0.673
H2 H 0.900 0.007 0.226
Cl1 Cl 0.150 0.573 0.523
Cl2 Cl 0.384 0.369 0.893
```

Crystal system   triclinic
ρ   1.408 g/cm3
VASP energy   -19.26 eV for the cell shown
Energy relative to the lowest polymorph listed for this composition   107 meV per atom
Fermi-level density of states   0.000 states/eV/atom


The following is a GGA-PBE calculation of a relaxed HfReBr2 crystal, from Alexandria.

```
data_HfReBr2
_chemical_formula_sum 'Hf3 Re3 Br6'
_symmetry_space_group_name_H-M 'R -3 m'
_symmetry_Int_Tables_number 166
_symmetry_space_group_name_Hall '-R 3 2"'
_cell_length_a 3.1783
_cell_length_b 3.1783
_cell_length_c 27.1000
_cell_angle_alpha 90.00
_cell_angle_beta 90.00
_cell_angle_gamma 120.00
loop_
_atom_site_label
_atom_site_type_symbol
_atom_site_fract_x
_atom_site_fract_y
_atom_site_fract_z
Hf1 Hf 0.0000 0.0000 0.0000
Re1 Re 0.0000 0.0000 0.5000
Br1 Br 0.0000 0.0000 0.4082
```

Formation energy without anion corrections   0.42 eV/atom
Crystal system   trigonal
ρ   11.021 g/cm3
VASP energy   -72.20 eV for the cell shown
Energy relative to the lowest polymorph listed for this composition   0 meV per atom
Fermi-level density of states   0.934 states/eV/atom


The following is a GGA-PBE calculation of a relaxed UPtPb crystal, from Alexandria.

```
data_UPtPb
_chemical_formula_sum 'U4 Pt4 Pb4'
_symmetry_space_group_name_H-M 'C 1 2/m 1'
_symmetry_Int_Tables_number 12
_cell_length_a 7.460
_cell_length_b 6.251
_cell_length_c 6.268
_cell_angle_alpha 90.00
_cell_angle_beta 104.13
_cell_angle_gamma 90.00
loop_
_symmetry_equiv_pos_as_xyz
'x,y,z'
'-x,-y,-z'
'-x,y,-z'
'x,-y,z'
'x+1/2,y+1/2,z'
'-x+1/2,-y+1/2,-z'
'-x+1/2,y+1/2,-z'
'x+1/2,-y+1/2,z'
loop_
_atom_site_label
_atom_site_type_symbol
_atom_site_fract_x
_atom_site_fract_y
_atom_site_fract_z
U1 U 0.000 0.194 0.000
Pt1 Pt 0.132 0.500 0.753
Pb1 Pb 0.210 0.000 0.620
```

Crystal system   monoclinic
ρ   15.003 g/cm3
VASP energy   -87.49 eV for the cell shown
Fermi-level density of states   1.218 states/eV/atom
Energy relative to the elements   -279 meV/atom


The following is a GGA-PBE calculation of a relaxed CaNi2MoPb crystal, from Alexandria.

```
data_CaNi2MoPb
_chemical_formula_sum 'Ca1 Ni2 Mo1 Pb1'
_symmetry_space_group_name_H-M 'P 4/m m m'
_symmetry_Int_Tables_number 123
_symmetry_space_group_name_Hall '-P 4 2'
_cell_length_a 4.830
_cell_length_b 4.830
_cell_length_c 5.622
_cell_angle_alpha 90.00
_cell_angle_beta 90.00
_cell_angle_gamma 90.00
loop_
_atom_site_label
_atom_site_type_symbol
_atom_site_fract_x
_atom_site_fract_y
_atom_site_fract_z
Ca1 Ca 0.000 0.000 0.000
Ni1 Ni 0.000 0.500 0.500
Mo1 Mo 0.500 0.500 0.000
Pb1 Pb 0.000 0.000 0.500
```

Crystal system   tetragonal
ρ   5.832 g/cm3
VASP energy   -20.68 eV for the cell shown
Fermi-level density of states   0.836 states/eV/atom
Energy relative to the elements   1484 meV/atom


| no. | total magnetization (μB per cell) |
| --- | --- |
| 1 | 0.00 |
| 2 | 1.86 |
| 3 | 0.00 |
| 4 | 3.99 |